# HgGeN2

A geometry-optimized HgGeN2 structure (PBE, the Alexandria database).

Calculated values
- Energy above the most stable polymorph in this dataset: 0.00 kJ per mole of atoms
- Calculated density: 8.944 Mg/m³
- E_form (uncorrected): 0.40 eV per atom
- DOS(E_F): 1.45 states/eV/cell

Cell lengths 5.0214, 5.0214, 8.8724 Å; angles 90.00, 90.00, 90.00 degrees
Fractional coordinates of all 16 atoms:
Hg  0.0000  0.0000  0.0000
Hg  0.0000  0.5000  0.2500
Hg  0.5000  0.0000  0.7500
Hg  0.5000  0.5000  0.5000
Ge  0.0000  0.0000  0.5000
Ge  0.0000  0.5000  0.7500
Ge  0.5000  0.0000  0.2500
Ge  0.5000  0.5000  0.0000
N  0.1724  0.2500  0.6250
N  0.2500  0.6724  0.8750
N  0.2500  0.8276  0.3750
N  0.3276  0.2500  0.1250
N  0.6724  0.7500  0.1250
N  0.7500  0.1724  0.3750
N  0.7500  0.3276  0.8750
N  0.8276  0.7500  0.6250